## a
This record from Alexandria via LeMat-Bulk describes a geometry-optimized MgHN2 structure. The functional is PBE.

Cell: 4.575 4.575 4.575 Å, 44.19 44.19 44.19°
Atoms (fractional coordinates):
Mg1 0.000 0.000 0.000
H1 0.500 0.500 0.500
N1 0.403 0.403 0.403
N2 0.597 0.597 0.597

Results
Magnetic moment (Bohr magnetons per cell): 0.70
Symmetry: R-3m, No. 166

---

## b
This record from Alexandria via LeMat-Bulk describes a geometry-optimized MgHN2 structure. The functional is PBE.

Cell: 3.975 3.975 3.975 Å, 50.50 50.50 50.50°
Atoms (fractional coordinates):
Mg1 0.000 0.000 0.000
H1 0.500 0.500 0.500
N1 0.196 0.196 0.196
N2 0.804 0.804 0.804

Results
Magnetic moment (Bohr magnetons per cell): 0.00
Symmetry: R-3m, No. 166

---

## c
This record from Alexandria via LeMat-Bulk describes a geometry-optimized MgHN2 structure. The functional is PBE.

Cell: 5.824 5.824 5.824 Å, 145.64 145.64 49.39°
Atoms (fractional coordinates):
Mg1 0.000 0.000 0.000
Mg2 0.750 0.250 0.500
H1 0.250 0.750 0.500
H2 0.500 0.500 0.000
N1 0.277 0.625 0.152
N2 0.375 0.527 0.652
N3 0.473 0.125 0.848
N4 0.875 0.723 0.348

Results
Magnetic moment (Bohr magnetons per cell): 0.00
Symmetry: I-42d, No. 122

---

Stability check: which of them is most stable? a.

---

## a
This record from Alexandria via LeMat-Bulk describes a geometry-optimized Mg2HN structure. The functional is PBE.

Cell: 3.232 3.232 5.274 Å, 90.00 90.00 120.00°
Atoms (fractional coordinates):
Mg1 0.000 0.000 0.000
Mg2 0.333 0.667 0.612
H1 0.000 0.000 0.367
N1 0.667 0.333 0.819

Results
Magnetic moment (Bohr magnetons per cell): 0.00
Symmetry: P3m1, No. 156

---

## b
This record from Alexandria via LeMat-Bulk describes a geometry-optimized Mg2HN structure. The functional is PBE.

Cell: 5.428 5.428 5.428 Å, 34.23 34.23 34.23°
Atoms (fractional coordinates):
Mg1 0.234 0.234 0.234
Mg2 0.766 0.766 0.766
H1 0.000 0.000 0.000
N1 0.500 0.500 0.500

Results
Magnetic moment (Bohr magnetons per cell): 0.00
Symmetry: R-3m, No. 166

---

## c
This record from Alexandria via LeMat-Bulk describes a geometry-optimized Mg2HN structure. The functional is PBE.

Cell: 3.232 3.232 10.865 Å, 96.04 96.04 62.27°
Atoms (fractional coordinates):
Mg1 0.000 0.000 0.000
Mg2 0.249 0.249 0.708
Mg3 0.532 0.532 0.468
Mg4 0.819 0.819 0.277
H1 0.292 0.292 0.883
H2 0.511 0.511 0.123
N1 0.175 0.175 0.376
N2 0.679 0.679 0.089

Results
Magnetic moment (Bohr magnetons per cell): 0.00
Symmetry: Cm, No. 8

---

## d
This record from Alexandria via LeMat-Bulk describes a geometry-optimized Mg2HN structure. The functional is PBE.

Cell: 3.269 3.269 10.701 Å, 92.54 92.54 62.23°
Atoms (fractional coordinates):
Mg1 0.000 0.000 0.000
Mg2 0.042 0.042 0.439
Mg3 0.354 0.354 0.191
Mg4 0.717 0.717 0.725
H1 0.231 0.231 0.844
H2 0.722 0.722 0.546
N1 0.063 0.063 0.799
N2 0.675 0.675 0.089

Results
Magnetic moment (Bohr magnetons per cell): 0.00
Symmetry: Cm, No. 8

---

Stability check: which of them is most stable? a.

---

## a
This record from Alexandria via LeMat-Bulk describes a geometry-optimized Mg2HN structure. The functional is PBE.

Cell: 4.073 6.858 3.217 Å, 90.00 90.00 90.00°
Atoms (fractional coordinates):
Mg1 0.000 0.070 0.000
Mg2 0.000 0.657 0.001
Mg3 0.500 0.343 0.501
Mg4 0.500 0.930 0.500
H1 0.000 0.429 0.499
H2 0.500 0.571 0.999
N1 0.000 0.855 0.500
N2 0.500 0.145 0.000

Results
Magnetic moment (Bohr magnetons per cell): 0.00
Symmetry: Pmn2_1, No. 31

---

## b
This record from Alexandria via LeMat-Bulk describes a geometry-optimized Mg2HN structure. The functional is PBE.

Cell: 3.163 3.163 4.137 Å, 90.00 90.00 90.00°
Atoms (fractional coordinates):
Mg1 0.000 0.000 0.000
Mg2 0.500 0.500 0.500
H1 0.000 0.000 0.500
N1 0.500 0.500 0.000

Results
Magnetic moment (Bohr magnetons per cell): 0.00
Symmetry: P4/mmm, No. 123

---

## c
This record from Alexandria via LeMat-Bulk describes a geometry-optimized Mg2HN structure. The functional is PBE.

Cell: 6.029 6.029 6.029 Å, 134.79 134.79 65.86°
Atoms (fractional coordinates):
Mg1 0.094 0.625 0.969
Mg2 0.375 0.344 0.469
Mg3 0.656 0.125 0.031
Mg4 0.875 0.906 0.531
H1 0.250 0.750 0.500
H2 0.500 0.500 0.000
N1 0.000 0.000 0.000
N2 0.750 0.250 0.500

Results
Magnetic moment (Bohr magnetons per cell): 0.00
Symmetry: I-42d, No. 122

---

## d
This record from Alexandria via LeMat-Bulk describes a geometry-optimized Mg2HN structure. The functional is PBE.

Cell: 5.787 5.787 5.787 Å, 31.93 31.93 31.93°
Atoms (fractional coordinates):
Mg1 0.000 0.000 0.000
Mg2 0.207 0.207 0.207
H1 0.789 0.789 0.789
N1 0.607 0.607 0.607

Results
Magnetic moment (Bohr magnetons per cell): 0.00
Symmetry: R3m, No. 160

---

Stability check: which of them is most stable? a.

---

## a
This record from Alexandria via LeMat-Bulk describes a geometry-optimized Mg2HN structure. The functional is PBE.

Cell: 3.778 3.778 3.778 Å, 60.00 60.00 60.00°
Atoms (fractional coordinates):
Mg1 0.250 0.250 0.250
Mg2 0.750 0.750 0.750
H1 0.000 0.000 0.000
N1 0.500 0.500 0.500

Results
Magnetic moment (Bohr magnetons per cell): 0.00
Symmetry: Fm-3m, No. 225

---

## b
This record from Alexandria via LeMat-Bulk describes a geometry-optimized Mg2HN structure. The functional is PBE.

Cell: 3.272 5.392 5.788 Å, 100.66 103.77 95.94°
Atoms (fractional coordinates):
Mg1 0.000 0.000 0.000
Mg2 0.009 0.444 0.844
Mg3 0.285 0.023 0.543
Mg4 0.722 0.448 0.290
H1 0.489 0.803 0.231
H2 0.869 0.740 0.667
N1 0.176 0.716 0.199
N2 0.505 0.216 0.920

Results
Magnetic moment (Bohr magnetons per cell): 0.00
Symmetry: P1, No. 1

---

Stability check: which of them is most stable? b.